VASP calculation (PBE) on TmIn2Ru after structural relaxation.

Energy relative to the elements = -3.69 kcal/mol of atoms
Theoretical density = 9.93 g/cm3
VASP energy = -19.86 eV per formula unit

```
data_TmIn2Ru
_chemical_formula_sum 'Tm1 In2 Ru1'
_cell_length_a 3.3375
_cell_length_b 3.3375
_cell_length_c 7.4987
_cell_angle_alpha 90.00
_cell_angle_beta 90.00
_cell_angle_gamma 90.00
_space_group_name_H-M_alt 'P 1'
_space_group_IT_number 1
_space_group_name_Hall 'P 1'
loop_
_atom_site_label
_atom_site_fract_x
_atom_site_fract_y
_atom_site_fract_z
Tm1 0.0000 0.0000 0.0000
In1 0.5000 0.5000 0.2946
In2 0.5000 0.5000 0.7054
Ru1 0.0000 0.0000 0.5000
```



VASP calculation (PBE) on Tm3InRu after structural relaxation.

Energy relative to the elements = -7.80 kcal/mol of atoms
Distance to the lowest polymorph of the same formula = 98 meV per atom
Theoretical density = 9.47 g/cm3
VASP energy = -27.12 eV per formula unit

```
data_Tm3InRu
_chemical_formula_sum 'Tm6 In2 Ru2'
_cell_length_a 6.8075
_cell_length_b 6.8075
_cell_length_c 8.4369
_cell_angle_alpha 112.17
_cell_angle_beta 112.17
_cell_angle_gamma 45.26
_space_group_name_H-M_alt 'P 1'
_space_group_IT_number 1
_space_group_name_Hall 'P 1'
loop_
_atom_site_label
_atom_site_fract_x
_atom_site_fract_y
_atom_site_fract_z
Tm1 0.0746 0.0746 0.2374
Tm2 0.2184 0.2184 0.7282
Tm3 0.4098 0.4098 0.1234
Tm4 0.5902 0.5902 0.8766
Tm5 0.7816 0.7816 0.2718
Tm6 0.9254 0.9254 0.7626
In1 0.3741 0.3741 0.4998
In2 0.6259 0.6259 0.5002
Ru1 0.1765 0.1765 0.0194
Ru2 0.8235 0.8235 0.9806
```



VASP calculation (PBE) on Tm6In3Ru after structural relaxation.

Energy relative to the elements = -7.81 kcal/mol of atoms
Distance to the lowest polymorph of the same formula = 45 meV per atom
Theoretical density = 9.26 g/cm3
VASP energy = -47.71 eV per formula unit

```
data_Tm6In3Ru
_chemical_formula_sum 'Tm12 In6 Ru2'
_cell_length_a 8.9638
_cell_length_b 11.5088
_cell_length_c 5.0748
_cell_angle_alpha 90.00
_cell_angle_beta 90.00
_cell_angle_gamma 90.00
_space_group_name_H-M_alt 'P 1'
_space_group_IT_number 1
_space_group_name_Hall 'P 1'
loop_
_atom_site_label
_atom_site_fract_x
_atom_site_fract_y
_atom_site_fract_z
Tm1 0.0171 0.2348 0.0000
Tm2 0.1544 0.0799 0.5000
Tm3 0.1956 0.4089 0.5000
Tm4 0.3044 0.9089 0.0000
Tm5 0.3456 0.5799 0.0000
Tm6 0.4829 0.7348 0.5000
Tm7 0.5171 0.2652 0.5000
Tm8 0.6544 0.4201 0.0000
Tm9 0.6956 0.0911 0.0000
Tm10 0.8044 0.5911 0.5000
Tm11 0.8456 0.9201 0.5000
Tm12 0.9829 0.7652 0.0000
In1 0.0000 0.5000 0.0000
In2 0.1503 0.7143 0.5000
In3 0.3497 0.2143 0.0000
In4 0.5000 0.0000 0.5000
In5 0.6503 0.7857 0.0000
In6 0.8497 0.2857 0.5000
Ru1 0.0000 0.0000 0.0000
Ru2 0.5000 0.5000 0.5000
```